# Sr4CaCr2S2O6

A relaxed Sr4CaCr2S2O6 crystal (PBE with a Hubbard U, Alexandria).

a = 3.964 Å, b = 3.964 Å, c = 16.583 Å
α = 90.00°, β = 90.00°, γ = 90.00°
Space group P-4m2 (No. 115)
One atom of each set of equivalent atoms:
Sr 0.000 0.500 0.082 [2 per cell]
Sr 0.000 0.500 0.296 [2 per cell]
Ca 0.000 0.000 0.500 [1 per cell]
Cr 0.000 0.500 0.819 [2 per cell]
S 0.000 0.500 0.613 [2 per cell]
O 0.000 0.000 0.199 [2 per cell]
O 0.000 0.500 0.934 [2 per cell]
O 0.500 0.500 0.199 [2 per cell]

Computed properties:
VASP energy	-6.43	eV per atom
V	17.37	A^3/atom